An optimized crystal structure of Al2CuRe2, computed with GGA-PBE.

Summary:
- Symmetry: No. 139
- DFT total energy: -6.60 eV per atom

Unit cell a=3.4993 b=3.4993 c=6.8040 alpha=104.90 beta=104.90 gamma=90.00
Fractional coordinates of all 5 atoms:
Al  0.7500  0.2500  0.5000
Al  0.2500  0.7500  0.5000
Cu  0.0000  0.0000  0.0000
Re  0.5960  0.5960  0.1920
Re  0.4040  0.4040  0.8080